[1]
ErLuAg4 | GGA-PBE | relaxed

space group	No. 216
ΔH_f (0 K)	-0.171	eV/atom

Cell lengths 5.6610, 5.6610, 5.6610 Å; angles 60.00, 60.00, 60.00 degrees
Closest atoms and distances in Å follow each position.
Sites, in units of the cell vectors:
Er 0.0000 0.0000 0.0000  12 Ag 3.32, 4 Lu 3.47
Lu 0.7500 0.7500 0.7500  12 Ag 3.32, 4 Er 3.47
Ag 0.3751 0.3751 0.3751  6 Ag 2.83
Ag 0.3751 0.3751 0.8747  6 Ag 2.83
Ag 0.3751 0.8747 0.3751  6 Ag 2.83
Ag 0.8747 0.3751 0.3751  6 Ag 2.83

***

[2]
NiHg2Sb | GGA-PBE | relaxed

uncorrected formation energy	0.30	eV per atom
space group	No. 166

Cell lengths 9.0267, 9.0267, 9.0267 Å; angles 21.53, 21.53, 21.53 degrees
Closest atoms and distances in Å follow each position.
Sites, in units of the cell vectors:
Ni 0.0000 0.0000 0.0000  6 Hg 2.67
Hg 0.2643 0.2643 0.2643  3 Ni 2.67
Hg 0.7357 0.7357 0.7357  3 Ni 2.67
Sb 0.5000 0.5000 0.5000  6 Hg 3.23, 6 Sb 3.37

***

[3]
NpCdGa2 | GGA-PBE | relaxed

space group	No. 123
ΔH_f (0 K)	0.034	eV/atom

Cell lengths 5.4233, 5.4233, 2.8393 Å; angles 90.00, 90.00, 90.00 degrees
Closest atoms and distances in Å follow each position.
Sites, in units of the cell vectors:
Np 0.0000 0.0000 0.0000  2 Np 2.84, 8 Ga 3.06
Cd 0.5000 0.5000 0.0000  2 Cd 2.84, 8 Ga 3.06
Ga 0.0000 0.5000 0.5000  2 Ga 2.84, 4 Cd 3.06, 4 Np 3.06
Ga 0.5000 0.0000 0.5000  2 Ga 2.84, 4 Cd 3.06, 4 Np 3.06

***

[4]
V2Ni7Ge2Ir | GGA-PBE | relaxed

space group	No. 65
ΔH_f (0 K)	-0.086	eV/atom

Cell lengths 3.6023, 3.6023, 11.5329 Å; angles 90.00, 90.00, 90.05 degrees
Closest atoms and distances in Å follow each position.
Sites, in units of the cell vectors:
V 0.0000 0.0000 0.1763  6 Ni 2.40-2.62, 4 Ge 2.55
V 0.0000 0.0000 0.8237  6 Ni 2.40-2.62, 4 Ge 2.55
Ni 0.0000 0.0000 0.5000  4 Ir 2.55, 8 Ni 2.57
Ni 0.0000 0.5000 0.3407  2 Ge 2.50, 6 Ni 2.55-2.57, 2 Ir 2.57, 2 V 2.62
Ni 0.0000 0.5000 0.6593  2 Ge 2.50, 6 Ni 2.55-2.57, 2 Ir 2.57, 2 V 2.62
Ni 0.2517 0.2517 0.0000  2 V 2.40, 4 Ni 2.53-2.56, 2 Ge 2.53
Ni 0.5000 0.0000 0.3407  2 Ge 2.50, 6 Ni 2.55-2.57, 2 Ir 2.57, 2 V 2.62
Ni 0.5000 0.0000 0.6593  2 Ge 2.50, 6 Ni 2.55-2.57, 2 Ir 2.57, 2 V 2.62
Ni 0.7483 0.7483 0.0000  2 V 2.40, 4 Ni 2.53-2.56, 2 Ge 2.53
Ge 0.5000 0.5000 0.1903  6 Ni 2.50-2.53, 4 V 2.55
Ge 0.5000 0.5000 0.8097  6 Ni 2.50-2.53, 4 V 2.55
Ir 0.5000 0.5000 0.5000  12 Ni 2.55-2.57

***

[5]
PrNdCd4 | GGA-PBE | relaxed

space group	No. 47
ΔH_f (0 K)	-0.349	eV/atom

Cell lengths 3.4335, 5.1239, 8.8509 Å; angles 90.00, 90.00, 90.00 degrees
Closest atoms and distances in Å follow each position.
Sites, in units of the cell vectors:
Pr 0.0000 0.0000 0.0000  12 Cd 3.42, 2 Pr 3.43
Nd 0.0000 0.5000 0.5000  12 Cd 3.41-3.42, 2 Nd 3.43
Cd 0.5000 0.0000 0.3341  3 Cd 2.94-2.96
Cd 0.5000 0.0000 0.6659  3 Cd 2.94-2.96
Cd 0.5000 0.5000 0.1677  3 Cd 2.96-2.97
Cd 0.5000 0.5000 0.8323  3 Cd 2.96-2.97

***

[6]
CaAlSe3 | GGA-PBE | relaxed

uncorrected formation energy	0.07	eV per atom
space group	No. 221

Cell lengths 5.5384, 5.5384, 5.5384 Å; angles 90.00, 90.00, 90.00 degrees
Closest atoms and distances in Å follow each position.
Sites, in units of the cell vectors:
Ca 0.0000 0.0000 0.0000  6 Se 2.77
Al 0.5000 0.5000 0.5000  12 Se 3.92
Se 0.0000 0.0000 0.5000  2 Ca 2.77
Se 0.0000 0.5000 0.0000  2 Ca 2.77
Se 0.5000 0.0000 0.0000  2 Ca 2.77

***

[7]
NiAgP2 | GGA-PBE | relaxed

space group	No. 216
ΔH_f (0 K)	0.554	eV/atom

Cell lengths 4.3751, 4.3751, 4.3751 Å; angles 60.00, 60.00, 60.00 degrees
Closest atoms and distances in Å follow each position.
Sites, in units of the cell vectors:
Ni 0.0000 0.0000 0.0000  4 Ag 2.68, 4 P 2.68
Ag 0.2500 0.2500 0.2500  4 Ni 2.68, 4 P 2.68
P 0.5000 0.5000 0.5000  4 P 2.68, 4 Ag 2.68
P 0.7500 0.7500 0.7500  4 Ni 2.68, 4 P 2.68

***

[8]
MnCuSb2Se | GGA-PBE | relaxed

uncorrected formation energy	0.87	eV per atom
space group	No. 123

Cell lengths 5.5195, 5.5195, 4.5122 Å; angles 90.00, 90.00, 90.00 degrees
Closest atoms and distances in Å follow each position.
Sites, in units of the cell vectors:
Mn 0.0000 0.0000 0.0000  2 Se 2.26
Cu 0.5000 0.5000 0.0000  8 Sb 3.56, 4 Mn 3.90
Sb 0.0000 0.5000 0.5000  2 Se 2.76
Sb 0.5000 0.0000 0.5000  2 Se 2.76
Se 0.0000 0.0000 0.5000  2 Mn 2.26

***

[9]
YAl3 | GGA-PBE | relaxed

space group	No. 166
ΔH_f (0 K)	-0.093	eV/atom

Cell lengths 5.7016, 5.7016, 5.7016 Å; angles 117.08, 117.08, 117.08 degrees
Closest atoms and distances in Å follow each position.
Sites, in units of the cell vectors:
Y 0.0000 0.0000 0.0000  2 Y 2.95, 6 Al 2.98
Al 0.0000 0.5000 0.5000  6 Al 2.95-2.98, 2 Y 2.98
Al 0.5000 0.0000 0.5000  6 Al 2.95-2.98, 2 Y 2.98
Al 0.5000 0.5000 0.0000  6 Al 2.95-2.98, 2 Y 2.98

***

[10]
AcPrIn3 | GGA-PBE | relaxed

space group	No. 63
ΔH_f (0 K)	-0.448	eV/atom

Cell lengths 14.7631, 14.7631, 4.7557 Å; angles 90.00, 90.00, 161.95 degrees
Closest atoms and distances in Å follow each position.
Sites, in units of the cell vectors:
Ac 0.0754 0.9246 0.7500  12 In 3.60-3.86
Ac 0.9246 0.0754 0.2500  12 In 3.60-3.86
Pr 0.2051 0.7949 0.2500  7 In 3.32-3.39
Pr 0.7949 0.2051 0.7500  7 In 3.32-3.39
In 0.3188 0.6812 0.2500  2 In 2.93
In 0.3772 0.6228 0.7500  3 In 2.85-2.93
In 0.4749 0.5251 0.7500  3 In 2.79-2.85
In 0.5251 0.4749 0.2500  3 In 2.79-2.85
In 0.6228 0.3772 0.2500  3 In 2.85-2.93
In 0.6812 0.3188 0.7500  2 In 2.93

***

[11]
Na8SiSe6 | GGA-PBE | relaxed

uncorrected formation energy	-0.97	eV per atom
space group	No. 31

Cell lengths 8.7818, 7.9987, 11.3469 Å; angles 90.00, 90.00, 90.00 degrees
Closest atoms and distances in Å follow each position.
Sites, in units of the cell vectors:
Na 0.0000 0.1378 0.0000  4 Se 2.90-3.01
Na 0.0000 0.1903 0.5019  3 Se 2.81-2.90
Na 0.1738 0.5084 0.1345  4 Se 2.86-3.06, 2 Na 3.05-3.06
Na 0.1845 0.6757 0.8444  4 Se 2.88-3.16, 1 Na 3.06
Na 0.1915 0.9369 0.2245  4 Se 2.95-3.00
Na 0.3085 0.0631 0.7245  4 Se 2.95-3.00
Na 0.3155 0.3243 0.3444  4 Se 2.88-3.16, 1 Na 3.06
Na 0.3262 0.4916 0.6345  4 Se 2.86-3.06, 2 Na 3.05-3.06
Na 0.5000 0.8097 0.0019  3 Se 2.81-2.90
Na 0.5000 0.8622 0.5000  4 Se 2.90-3.01
Na 0.6738 0.4916 0.6345  4 Se 2.86-3.06, 2 Na 3.05-3.06
Na 0.6845 0.3243 0.3444  4 Se 2.88-3.16, 1 Na 3.06
Na 0.6915 0.0631 0.7245  4 Se 2.95-3.00
Na 0.8085 0.9369 0.2245  4 Se 2.95-3.00
Na 0.8155 0.6757 0.8444  4 Se 2.88-3.16, 1 Na 3.06
Na 0.8262 0.5084 0.1345  4 Se 2.86-3.06, 2 Na 3.05-3.06
Si 0.0000 0.6994 0.5353  4 Se 2.31-2.33
Si 0.5000 0.3006 0.0353  4 Se 2.31-2.33
Se 0.0000 0.2370 0.2563  8 Na 2.81-3.03
Se 0.0000 0.4715 0.6636  1 Si 2.33
Se 0.0000 0.7805 0.0413  7 Na 2.86-2.95
Se 0.0000 0.9235 0.6658  1 Si 2.33
Se 0.2158 0.6885 0.4199  1 Si 2.31
Se 0.2842 0.3115 0.9199  1 Si 2.31
Se 0.5000 0.0765 0.1658  1 Si 2.33
Se 0.5000 0.2195 0.5413  7 Na 2.86-2.95
Se 0.5000 0.5285 0.1636  1 Si 2.33
Se 0.5000 0.7630 0.7563  8 Na 2.81-3.03
Se 0.7158 0.3115 0.9199  1 Si 2.31
Se 0.7842 0.6885 0.4199  1 Si 2.31

***

[12]
Tl2CuSnPt | GGA-PBE | relaxed

space group	No. 123
ΔH_f (0 K)	0.377	eV/atom

Cell lengths 5.0404, 5.0404, 4.9193 Å; angles 90.00, 90.00, 90.00 degrees
Closest atoms and distances in Å follow each position.
Sites, in units of the cell vectors:
Tl 0.0000 0.5000 0.0000  2 Cu 2.52
Tl 0.5000 0.0000 0.0000  2 Cu 2.52
Cu 0.0000 0.0000 0.0000  2 Pt 2.46, 4 Tl 2.52
Sn 0.5000 0.5000 0.5000  8 Tl 3.52, 4 Pt 3.56
Pt 0.0000 0.0000 0.5000  2 Cu 2.46

***

[13]
Nd3Si6PdRh2 | GGA-PBE | relaxed

uncorrected formation energy	-0.46	eV per atom
space group	No. 164

Cell lengths 5.7283, 5.7283, 8.2513 Å; angles 90.00, 90.00, 120.00 degrees
Closest atoms and distances in Å follow each position.
Sites, in units of the cell vectors:
Nd 0.0000 0.0000 0.0000  6 Si 3.00, 6 Rh 3.33
Nd 0.3333 0.6667 0.6120  9 Si 3.00-3.07
Nd 0.6667 0.3333 0.3880  9 Si 3.00-3.07
Si 0.1887 0.3773 0.2838  1 Rh 2.39, 2 Si 2.49, 1 Pd 2.59
Si 0.1887 0.8113 0.2838  1 Rh 2.39, 2 Si 2.49, 1 Pd 2.59
Si 0.3773 0.1887 0.7163  1 Rh 2.39, 2 Si 2.49, 1 Pd 2.59
Si 0.6227 0.8113 0.2838  1 Rh 2.39, 2 Si 2.49, 1 Pd 2.59
Si 0.8113 0.1887 0.7163  1 Rh 2.39, 2 Si 2.49, 1 Pd 2.59
Si 0.8113 0.6227 0.7163  1 Rh 2.39, 2 Si 2.49, 1 Pd 2.59
Pd 0.0000 0.0000 0.5000  6 Si 2.59
Rh 0.3333 0.6667 0.0518  3 Si 2.39
Rh 0.6667 0.3333 0.9482  3 Si 2.39

***

[14]
KNa2YAu | GGA-PBE | relaxed

space group	No. 123
ΔH_f (0 K)	1.018	eV/atom

Cell lengths 6.5588, 6.5588, 7.5964 Å; angles 90.00, 90.00, 90.00 degrees
Closest atoms and distances in Å follow each position.
Sites, in units of the cell vectors:
K 0.0000 0.0000 0.0000  2 Y 3.80
Na 0.0000 0.5000 0.5000  2 Y 3.28
Na 0.5000 0.0000 0.5000  2 Y 3.28
Y 0.0000 0.0000 0.5000  4 Na 3.28
Au 0.5000 0.5000 0.0000  4 K 4.64, 8 Na 5.02

***

[15]
Cd2SiH | GGA-PBE | relaxed

space group	No. 225

Cell lengths 4.5940, 4.5940, 4.5940 Å; angles 60.00, 60.00, 60.00 degrees
Closest atoms and distances in Å follow each position.
Sites, in units of the cell vectors:
Cd 0.2500 0.2500 0.2500  4 H 2.81, 4 Si 2.81
Cd 0.7500 0.7500 0.7500  4 H 2.81, 4 Si 2.81
Si 0.0000 0.0000 0.0000  8 Cd 2.81
H 0.5000 0.5000 0.5000  8 Cd 2.81

***

[16]
CaMgCd2 | GGA-PBE | relaxed

space group	No. 166
ΔH_f (0 K)	-0.078	eV/atom

Cell lengths 9.6361, 9.6361, 9.6361 Å; angles 21.86, 21.86, 21.86 degrees
Closest atoms and distances in Å follow each position.
Sites, in units of the cell vectors:
Ca 0.0000 0.0000 0.0000  6 Cd 3.28, 6 Ca 3.65
Mg 0.5000 0.5000 0.5000  6 Cd 3.04
Cd 0.2444 0.2444 0.2444  3 Mg 3.04, 3 Ca 3.28
Cd 0.7556 0.7556 0.7556  3 Mg 3.04, 3 Ca 3.28

***

[17]
ErZrZnIr | GGA-PBE | relaxed

space group	No. 216
ΔH_f (0 K)	-0.551	eV/atom

Cell lengths 4.7920, 4.7920, 4.7920 Å; angles 60.00, 60.00, 60.00 degrees
Closest atoms and distances in Å follow each position.
Sites, in units of the cell vectors:
Er 0.0000 0.0000 0.0000  4 Ir 2.93, 4 Zn 2.93
Zr 0.5000 0.5000 0.5000  4 Ir 2.93, 4 Zn 2.93
Zn 0.7500 0.7500 0.7500  4 Zr 2.93, 4 Er 2.93
Ir 0.2500 0.2500 0.2500  4 Zr 2.93, 4 Er 2.93

***

[18]
SrAlRu4 | GGA-PBE | relaxed

space group	No. 216
ΔH_f (0 K)	0.324	eV/atom

Cell lengths 5.2838, 5.2838, 5.2838 Å; angles 60.00, 60.00, 60.00 degrees
Closest atoms and distances in Å follow each position.
Sites, in units of the cell vectors:
Sr 0.0000 0.0000 0.0000  12 Ru 3.10, 4 Al 3.24
Al 0.7500 0.7500 0.7500  12 Ru 3.10, 4 Sr 3.24
Ru 0.3762 0.3762 0.3762  6 Ru 2.62-2.67
Ru 0.3762 0.3762 0.8714  6 Ru 2.62-2.67
Ru 0.3762 0.8714 0.3762  6 Ru 2.62-2.67
Ru 0.8714 0.3762 0.3762  6 Ru 2.62-2.67

***

Number 1: VASP energy -3.586 eV per atom. Number 2: VASP energy -2.327 eV per atom. Number 3: VASP energy -4.943 eV per atom. Number 4: VASP energy -6.486 eV per atom. Number 5: VASP energy -2.550 eV per atom. Number 6: VASP energy -3.167 eV per atom. Number 7: VASP energy -4.309 eV per atom. Number 8: VASP energy -4.134 eV per atom. Number 9: VASP energy -4.516 eV per atom. Number 10: VASP energy -3.869 eV per atom. Number 11: VASP energy -3.429 eV per atom. Number 12: VASP energy -3.397 eV per atom. Number 13: VASP energy -6.023 eV per atom. Number 14: VASP energy -1.677 eV per atom. Number 15: VASP energy -2.036 eV per atom. Number 16: VASP energy -1.434 eV per atom. Number 17: VASP energy -6.363 eV per atom. Number 18: VASP energy -6.764 eV per atom.